*A*
Material: LiTc2W
Method: DFT, GGA-PBE
State: relaxed

Unit cell a=4.9431 b=4.9431 c=2.6324 alpha=90.00 beta=90.00 gamma=113.90
With the nearest neighbours (Å) after each atom.
Fractional positions:
Li1 0.0000 0.0000 0.0000  2 Li 2.63, 2 W 2.70, 8 Tc 2.80
Tc1 0.0000 0.5000 0.5000  4 Tc 2.63-2.70, 4 Li 2.80, 4 W 2.80
Tc2 0.5000 0.0000 0.5000  4 Tc 2.63-2.70, 4 Li 2.80, 4 W 2.80
W1 0.5000 0.5000 0.0000  2 W 2.63, 2 Li 2.70, 8 Tc 2.80

The volume is 58.81 Å³ per cell. Its magnetic moment is 0.00 μB/f.u.



*B*
Material: LiTc2W
Method: DFT, GGA-PBE
State: relaxed

Unit cell a=2.7197 b=2.7197 c=8.2197 alpha=90.00 beta=90.00 gamma=90.00
With the nearest neighbours (Å) after each atom.
Fractional positions:
Li1 0.0000 0.0000 0.0000  4 Li 2.72, 8 Tc 2.86
Tc1 0.5000 0.5000 0.2575  4 Tc 2.72, 4 W 2.77, 4 Li 2.86
Tc2 0.5000 0.5000 0.7425  4 Tc 2.72, 4 W 2.77, 4 Li 2.86
W1 0.0000 0.0000 0.5000  4 W 2.72, 8 Tc 2.77

The volume is 60.80 Å³ per cell. Its magnetic moment is 0.00 μB/f.u.



Need the numbers? Relative energies in meV per atom: *A* 0; *B* 31.



*A*
Material: LiTcW3
Method: DFT, GGA-PBE
State: relaxed

Unit cell a=4.2103 b=4.2103 c=4.2103 alpha=90.00 beta=90.00 gamma=90.00
With the nearest neighbours (Å) after each atom.
Fractional positions:
Li1 0.0000 0.0000 0.0000  6 W 2.11
Tc1 0.5000 0.5000 0.5000  12 W 2.98
W1 0.0000 0.0000 0.5000  2 Li 2.11
W2 0.0000 0.5000 0.0000  2 Li 2.11
W3 0.5000 0.0000 0.0000  2 Li 2.11

The volume is 74.63 Å³ per cell. Its magnetic moment is 0.00 μB/f.u.



*B*
Material: LiTcW3
Method: DFT, GGA-PBE
State: relaxed

Unit cell a=4.7478 b=4.7478 c=4.7478 alpha=90.00 beta=90.00 gamma=90.00
With the nearest neighbours (Å) after each atom.
Fractional positions:
Li1 0.0000 0.0000 0.0000  12 W 3.36
Tc1 0.5000 0.5000 0.5000  6 W 2.37
W1 0.0000 0.5000 0.5000  2 Tc 2.37
W2 0.5000 0.0000 0.5000  2 Tc 2.37
W3 0.5000 0.5000 0.0000  2 Tc 2.37

The volume is 107.03 Å³ per cell. Its magnetic moment is 0.00 μB/f.u.



Need the numbers? Relative energies in meV per atom: *A* 0; *B* 450.



*A*
Material: Li2YTc
Method: DFT, GGA-PBE
State: relaxed

Unit cell a=4.6148 b=4.6148 c=4.6148 alpha=60.00 beta=60.00 gamma=60.00
With the nearest neighbours (Å) after each atom.
Fractional positions:
Li1 0.2500 0.2500 0.2500  4 Tc 2.83, 4 Y 2.83
Li2 0.7500 0.7500 0.7500  4 Tc 2.83, 4 Y 2.83
Y1 0.0000 0.0000 0.0000  8 Li 2.83
Tc1 0.5000 0.5000 0.5000  8 Li 2.83

The volume is 69.49 Å³ per cell. Its magnetic moment is 0.81 μB/f.u.



*B*
Material: Li2YTc
Method: DFT, GGA-PBE
State: relaxed

Unit cell a=2.7870 b=2.7870 c=9.5252 alpha=90.00 beta=90.00 gamma=90.00
With the nearest neighbours (Å) after each atom.
Fractional positions:
Li1 0.0000 0.0000 0.2132  4 Li 2.79, 4 Tc 2.83
Li2 0.0000 0.0000 0.7868  4 Li 2.79, 4 Tc 2.83
Y1 0.5000 0.5000 0.5000  4 Y 2.79
Tc1 0.5000 0.5000 0.0000  4 Tc 2.79, 8 Li 2.83

The volume is 73.98 Å³ per cell. Its magnetic moment is 0.00 μB/f.u.



*C*
Material: Li2YTc
Method: DFT, GGA-PBE
State: relaxed

Unit cell a=10.5222 b=10.5222 c=10.5222 alpha=15.97 beta=15.97 gamma=15.97
With the nearest neighbours (Å) after each atom.
Fractional positions:
Li1 0.2393 0.2393 0.2393  3 Tc 2.82, 6 Li 2.92
Li2 0.7607 0.7607 0.7607  3 Tc 2.82, 6 Li 2.92
Y1 0.0000 0.0000 0.0000  6 Y 2.92
Tc1 0.5000 0.5000 0.5000  6 Li 2.82, 6 Tc 2.92

The volume is 76.85 Å³ per cell. Its magnetic moment is 0.83 μB/f.u.



*D*
Material: Li2YTc
Method: DFT, GGA-PBE
State: relaxed

Unit cell a=3.2554 b=4.5236 c=5.2354 alpha=90.00 beta=90.00 gamma=90.00
With the nearest neighbours (Å) after each atom.
Fractional positions:
Li1 0.0000 0.0000 0.0000  4 Li 2.79, 4 Tc 3.08
Li2 0.5000 0.5000 0.0000  4 Li 2.79, 4 Y 3.08
Y1 0.0000 0.5000 0.5000  4 Tc 2.79, 4 Li 3.08
Tc1 0.5000 0.0000 0.5000  4 Y 2.79, 4 Li 3.08

The volume is 77.10 Å³ per cell. Its magnetic moment is 0.00 μB/f.u.



Need the numbers? Relative energies in meV per atom: *A* 82; *B* 238; *C* 272; *D* 0.



*A*
Material: Li2YTc
Method: DFT, GGA-PBE
State: relaxed

Unit cell a=5.3175 b=5.3175 c=2.8609 alpha=90.00 beta=90.00 gamma=116.84
With the nearest neighbours (Å) after each atom.
Fractional positions:
Li1 0.0000 0.5000 0.0000  4 Li 2.78-2.86, 4 Tc 3.02, 4 Y 3.02
Li2 0.5000 0.0000 0.0000  4 Li 2.78-2.86, 4 Tc 3.02, 4 Y 3.02
Y1 0.0000 0.0000 0.5000  2 Tc 2.78, 2 Y 2.86, 8 Li 3.02
Tc1 0.5000 0.5000 0.5000  2 Y 2.78, 2 Tc 2.86, 8 Li 3.02

The volume is 72.18 Å³ per cell. Its magnetic moment is 0.00 μB/f.u.



*B*
Material: Li2YTc
Method: DFT, GGA-PBE
State: relaxed

Unit cell a=4.7297 b=4.7297 c=4.7297 alpha=60.00 beta=60.00 gamma=60.00
With the nearest neighbours (Å) after each atom.
Fractional positions:
Li1 0.0000 0.0000 0.0000  4 Y 2.90, 4 Li 2.90
Li2 0.2500 0.2500 0.2500  4 Tc 2.90, 4 Li 2.90
Y1 0.7500 0.7500 0.7500  4 Li 2.90, 4 Tc 2.90
Tc1 0.5000 0.5000 0.5000  4 Y 2.90, 4 Li 2.90

The volume is 74.81 Å³ per cell. Its magnetic moment is 0.79 μB/f.u.



*C*
Material: Li2YTc
Method: DFT, GGA-PBE
State: relaxed

Unit cell a=3.0642 b=3.5881 c=7.1776 alpha=90.00 beta=90.00 gamma=90.00
With the nearest neighbours (Å) after each atom.
Fractional positions:
Li1 0.0000 0.0000 0.0000  6 Li 2.78-3.06, 1 Tc 2.86
Li2 0.5000 0.5000 0.2037  4 Tc 2.74, 6 Li 2.78-3.06
Y1 0.5000 0.5000 0.6363  4 Tc 2.91, 2 Y 3.06, 1 Li 3.11
Tc1 0.0000 0.0000 0.3982  5 Li 2.74-2.86, 4 Y 2.91, 2 Tc 3.06

The volume is 78.91 Å³ per cell. Its magnetic moment is 0.00 μB/f.u.



Need the numbers? Relative energies in meV per atom: *A* 171; *B* 130; *C* 0.



*A*
Material: LiZnTc
Method: DFT, GGA-PBE
State: relaxed

Unit cell a=5.0930 b=5.0930 c=5.0930 alpha=150.98 beta=140.60 gamma=49.67
With the nearest neighbours (Å) after each atom.
Fractional positions:
Li1 0.0000 0.0000 0.0000  4 Zn 2.52, 2 Li 2.55, 4 Tc 2.70
Zn1 0.3567 0.3567 0.0000  4 Li 2.52, 2 Zn 2.55, 4 Tc 2.70
Tc1 0.6777 0.6777 0.0000  2 Tc 2.55, 4 Li 2.70, 4 Zn 2.70

The volume is 40.51 Å³ per cell. Its magnetic moment is 0.00 μB/f.u.



*B*
Material: LiZnTc
Method: DFT, GGA-PBE
State: relaxed

Unit cell a=2.6781 b=2.6781 c=6.9584 alpha=90.00 beta=90.00 gamma=120.00
With the nearest neighbours (Å) after each atom.
Fractional positions:
Li1 0.0000 0.0000 0.0000  6 Li 2.68, 3 Zn 2.79, 3 Tc 2.79
Zn1 0.3333 0.6667 0.6667  6 Zn 2.68, 3 Li 2.79, 3 Tc 2.79
Tc1 0.6667 0.3333 0.3335  6 Tc 2.68, 3 Zn 2.79, 3 Li 2.79

The volume is 43.22 Å³ per cell. Its magnetic moment is 0.00 μB/f.u.



*C*
Material: LiZnTc
Method: DFT, GGA-PBE
State: relaxed

Unit cell a=4.2349 b=4.2349 c=4.2349 alpha=60.00 beta=60.00 gamma=60.00
With the nearest neighbours (Å) after each atom.
Fractional positions:
Li1 0.0000 0.0000 0.0000  4 Tc 2.59
Zn1 0.5000 0.5000 0.5000  4 Tc 2.59
Tc1 0.2500 0.2500 0.2500  4 Li 2.59, 4 Zn 2.59

The volume is 53.71 Å³ per cell. Its magnetic moment is 2.28 μB/f.u.



*D*
Material: LiZnTc
Method: DFT, GGA-PBE
State: relaxed

Unit cell a=3.0173 b=3.0173 c=9.9438 alpha=90.00 beta=90.00 gamma=90.00
With the nearest neighbours (Å) after each atom.
Fractional positions:
Li1 0.2500 0.2500 0.1003  4 Zn 2.65, 4 Li 2.92
Li2 0.7500 0.7500 0.8997  4 Zn 2.65, 4 Li 2.92
Zn1 0.2500 0.2500 0.7412  4 Li 2.65, 4 Tc 2.72
Zn2 0.7500 0.7500 0.2588  4 Li 2.65, 4 Tc 2.72
Tc1 0.2500 0.2500 0.4288  4 Tc 2.56, 4 Zn 2.72
Tc2 0.7500 0.7500 0.5712  4 Tc 2.56, 4 Zn 2.72

The volume is 90.53 Å³ per cell. Its magnetic moment is 0.00 μB/f.u.



Need the numbers? Relative energies in meV per atom: *A* 281; *B* 195; *C* 998; *D* 0.



*A*
Material: LiZn6Tc
Method: DFT, GGA-PBE
State: relaxed

Unit cell a=3.7470 b=3.7470 c=8.0916 alpha=90.00 beta=90.00 gamma=90.00
With the nearest neighbours (Å) after each atom.
Fractional positions:
Li1 0.0000 0.0000 0.0000  12 Zn 2.65-2.75
Zn1 0.0000 0.5000 0.2495  8 Zn 2.65-2.76, 2 Li 2.75, 2 Tc 2.76
Zn2 0.0000 0.5000 0.7505  8 Zn 2.65-2.76, 2 Li 2.75, 2 Tc 2.76
Zn3 0.5000 0.0000 0.2495  8 Zn 2.65-2.76, 2 Li 2.75, 2 Tc 2.76
Zn4 0.5000 0.0000 0.7505  8 Zn 2.65-2.76, 2 Li 2.75, 2 Tc 2.76
Zn5 0.5000 0.5000 0.0000  4 Li 2.65, 8 Zn 2.75
Zn6 0.5000 0.5000 0.5000  4 Tc 2.65, 8 Zn 2.76
Tc1 0.0000 0.0000 0.5000  12 Zn 2.65-2.76

The volume is 113.61 Å³ per cell. Its magnetic moment is 0.00 μB/f.u.



*B*
Material: LiZn6Tc
Method: DFT, GGA-PBE
State: relaxed

Unit cell a=5.1846 b=5.1846 c=5.1846 alpha=84.37 beta=84.37 gamma=84.37
With the nearest neighbours (Å) after each atom.
Fractional positions:
Li1 0.0000 0.0000 0.0000  6 Zn 2.57
Zn1 0.1565 0.1565 0.5306  5 Zn 2.47-2.72, 1 Li 2.57, 1 Tc 2.62
Zn2 0.1565 0.5306 0.1565  5 Zn 2.47-2.72, 1 Li 2.57, 1 Tc 2.62
Zn3 0.4694 0.8435 0.8435  5 Zn 2.47-2.72, 1 Li 2.57, 1 Tc 2.62
Zn4 0.5306 0.1565 0.1565  5 Zn 2.47-2.72, 1 Li 2.57, 1 Tc 2.62
Zn5 0.8435 0.4694 0.8435  5 Zn 2.47-2.72, 1 Li 2.57, 1 Tc 2.62
Zn6 0.8435 0.8435 0.4694  5 Zn 2.47-2.72, 1 Li 2.57, 1 Tc 2.62
Tc1 0.5000 0.5000 0.5000  6 Zn 2.62

The volume is 137.47 Å³ per cell. Its magnetic moment is 2.10 μB/f.u.



Need the numbers? Relative energies in meV per atom: *A* 0; *B* 438.



*A*
Material: LiZrTc
Method: DFT, GGA-PBE
State: relaxed

Unit cell a=4.7219 b=4.7219 c=2.6137 alpha=90.00 beta=90.00 gamma=120.00
With the nearest neighbours (Å) after each atom.
Fractional positions:
Li1 0.0000 0.0000 0.0000  2 Li 2.61, 3 Tc 2.81, 3 Zr 2.87
Zr1 0.3333 0.6667 0.6516  2 Zr 2.61, 3 Li 2.87, 3 Tc 2.91
Tc1 0.6667 0.3333 0.2595  2 Tc 2.61, 3 Li 2.81, 3 Zr 2.91

The volume is 50.47 Å³ per cell. Its magnetic moment is 0.00 μB/f.u.



*B*
Material: LiZrTc
Method: DFT, GGA-PBE
State: relaxed

Unit cell a=7.3238 b=7.0994 c=2.9356 alpha=82.58 beta=74.00 gamma=23.42
With the nearest neighbours (Å) after each atom.
Fractional positions:
Li1 0.0000 0.0000 0.0000  2 Tc 2.70, 4 Li 2.94
Zr1 0.3020 0.3020 0.6980  2 Tc 2.60
Tc1 0.6556 0.6556 0.3444  2 Zr 2.60, 2 Li 2.70

The volume is 55.17 Å³ per cell. Its magnetic moment is 0.00 μB/f.u.



*C*
Material: LiZrTc
Method: DFT, GGA-PBE
State: relaxed

Unit cell a=4.8610 b=4.8610 c=4.8610 alpha=139.03 beta=139.03 gamma=59.33
With the nearest neighbours (Å) after each atom.
Fractional positions:
Li1 0.0000 0.0000 0.0000  5 Zr 2.69-2.86, 5 Tc 2.73-2.93
Zr1 0.3180 0.3180 0.0000  5 Li 2.69-2.86, 5 Tc 2.78-2.83
Tc1 0.6527 0.6527 0.0000  5 Li 2.73-2.93, 5 Zr 2.78-2.83

The volume is 48.90 Å³ per cell. Its magnetic moment is 0.00 μB/f.u.



*D*
Material: LiZrTc
Method: DFT, GGA-PBE
State: relaxed

Unit cell a=7.4624 b=7.4624 c=7.4624 alpha=159.12 beta=159.12 gamma=29.70
With the nearest neighbours (Å) after each atom.
Fractional positions:
Li1 0.0000 0.0000 0.0000  4 Li 2.70, 4 Tc 2.86
Zr1 0.6878 0.6878 0.0000  4 Zr 2.70
Tc1 0.3525 0.3525 0.0000  4 Tc 2.70, 4 Li 2.86

The volume is 52.78 Å³ per cell. Its magnetic moment is 0.00 μB/f.u.



Need the numbers? Relative energies in meV per atom: *A* 49; *B* 120; *C* 0; *D* 258.



*A*
Material: LiZr2Tc
Method: DFT, GGA-PBE
State: relaxed

Unit cell a=4.6820 b=4.6820 c=4.6820 alpha=60.00 beta=60.00 gamma=60.00
With the nearest neighbours (Å) after each atom.
Fractional positions:
Li1 0.0000 0.0000 0.0000  8 Zr 2.87
Zr1 0.2500 0.2500 0.2500  4 Tc 2.87, 4 Li 2.87
Zr2 0.7500 0.7500 0.7500  4 Li 2.87, 4 Tc 2.87
Tc1 0.5000 0.5000 0.5000  8 Zr 2.87

The volume is 72.57 Å³ per cell. Its magnetic moment is 0.00 μB/f.u.



*B*
Material: LiZr2Tc
Method: DFT, GGA-PBE
State: relaxed

Unit cell a=3.0346 b=3.0346 c=9.5197 alpha=90.00 beta=90.00 gamma=112.17
With the nearest neighbours (Å) after each atom.
Fractional positions:
Li1 0.0000 0.0000 0.0000  6 Li 3.03-3.39, 4 Zr 3.18
Zr1 0.5000 0.5000 0.2831  2 Tc 2.67
Zr2 0.5000 0.5000 0.7169  2 Tc 2.67
Tc1 0.0000 0.0000 0.5000  4 Zr 2.67

The volume is 81.19 Å³ per cell. Its magnetic moment is 0.00 μB/f.u.



*C*
Material: LiZr2Tc
Method: DFT, GGA-PBE
State: relaxed

Unit cell a=4.5096 b=4.5096 c=6.0109 alpha=97.39 beta=97.39 gamma=40.88
With the nearest neighbours (Å) after each atom.
Fractional positions:
Li1 0.0000 0.0000 0.0000  6 Zr 2.80-3.02
Zr1 0.2399 0.2399 0.7219  3 Tc 2.72-2.76, 3 Li 2.80-3.02
Zr2 0.7601 0.7601 0.2781  3 Tc 2.72-2.76, 3 Li 2.80-3.02
Tc1 0.5000 0.5000 0.5000  6 Zr 2.72-2.76

The volume is 79.25 Å³ per cell. Its magnetic moment is 0.00 μB/f.u.



Need the numbers? Relative energies in meV per atom: *A* 0; *B* 218; *C* 337.



*A*
Material: LiZr2Tc
Method: DFT, GGA-PBE
State: relaxed

Unit cell a=9.4184 b=9.4184 c=9.4184 alpha=19.67 beta=19.67 gamma=19.67
With the nearest neighbours (Å) after each atom.
Fractional positions:
Li1 0.0000 0.0000 0.0000  6 Zr 3.21, 6 Li 3.22
Zr1 0.2390 0.2390 0.2390  3 Tc 2.73
Zr2 0.7610 0.7610 0.7610  3 Tc 2.73
Tc1 0.5000 0.5000 0.5000  6 Zr 2.73

The volume is 82.79 Å³ per cell. Its magnetic moment is 0.02 μB/f.u.



*B*
Material: LiZr2Tc
Method: DFT, GGA-PBE
State: relaxed

Unit cell a=3.4125 b=3.4125 c=6.1556 alpha=90.00 beta=90.00 gamma=90.00
With the nearest neighbours (Å) after each atom.
Fractional positions:
Li1 0.0000 0.0000 0.0000  5 Zr 2.68-2.84, 4 Tc 2.72
Zr1 0.0000 0.0000 0.4359  1 Li 2.68, 4 Tc 2.80
Zr2 0.5000 0.5000 0.7560  1 Tc 2.76, 4 Li 2.84
Tc1 0.5000 0.5000 0.2043  4 Li 2.72, 5 Zr 2.76-2.80

The volume is 71.68 Å³ per cell. Its magnetic moment is 0.00 μB/f.u.



*C*
Material: LiZr2Tc
Method: DFT, GGA-PBE
State: relaxed

Unit cell a=3.1189 b=4.3767 c=5.6271 alpha=90.00 beta=90.00 gamma=90.00
With the nearest neighbours (Å) after each atom.
Fractional positions:
Li1 0.0000 0.0000 0.0000  5 Zr 2.62-2.93
Zr1 0.0000 0.0000 0.4653  1 Li 2.62, 4 Tc 2.81
Zr2 0.5000 0.5000 0.7916  2 Tc 2.66-2.97, 4 Li 2.93
Tc1 0.5000 0.5000 0.3196  6 Zr 2.66-2.97

The volume is 76.81 Å³ per cell. Its magnetic moment is 0.00 μB/f.u.



*D*
Material: LiZr2Tc
Method: DFT, GGA-PBE
State: relaxed

Unit cell a=4.6461 b=4.6461 c=3.3462 alpha=90.00 beta=90.00 gamma=90.00
With the nearest neighbours (Å) after each atom.
Fractional positions:
Li1 0.0000 0.0000 0.0000  8 Zr 2.86
Zr1 0.0000 0.5000 0.5000  4 Li 2.86, 4 Tc 2.86
Zr2 0.5000 0.0000 0.5000  4 Li 2.86, 4 Tc 2.86
Tc1 0.5000 0.5000 0.0000  8 Zr 2.86

The volume is 72.23 Å³ per cell. Its magnetic moment is 0.00 μB/f.u.



Need the numbers? Relative energies in meV per atom: *A* 241; *B* 197; *C* 298; *D* 0.



*A*
Material: LiZr2Tc
Method: DFT, GGA-PBE
State: relaxed

Unit cell a=5.8876 b=5.8876 c=5.8876 alpha=103.97 beta=103.97 gamma=121.14
With the nearest neighbours (Å) after each atom.
Fractional positions:
Li1 0.0000 0.0000 0.0000  4 Zr 2.70, 2 Tc 2.89
Li2 0.7500 0.2500 0.5000  4 Zr 2.70, 2 Tc 2.89
Zr1 0.1318 0.6250 0.0068  2 Tc 2.63, 2 Li 2.70, 2 Zr 2.89
Zr2 0.3750 0.3818 0.5068  2 Tc 2.63, 2 Li 2.70, 2 Zr 2.89
Zr3 0.6182 0.1250 0.9932  2 Tc 2.63, 2 Li 2.70, 2 Zr 2.89
Zr4 0.8750 0.8682 0.4932  2 Tc 2.63, 2 Li 2.70, 2 Zr 2.89
Tc1 0.2500 0.7500 0.5000  4 Zr 2.63, 2 Li 2.89
Tc2 0.5000 0.5000 0.0000  4 Zr 2.63, 2 Li 2.89

The volume is 152.14 Å³ per cell. Its magnetic moment is 0.00 μB/f.u.



*B*
Material: LiZr2Tc
Method: DFT, GGA-PBE
State: relaxed

Unit cell a=2.9620 b=2.9620 c=9.7145 alpha=90.00 beta=90.00 gamma=113.72
With the nearest neighbours (Å) after each atom.
Fractional positions:
Li1 0.0000 0.0000 0.0000  2 Tc 2.71, 4 Li 2.96
Zr1 0.0000 0.0000 0.5652  2 Tc 2.61
Zr2 0.5000 0.5000 0.2812  8 Zr 2.96-3.24, 2 Li 3.18
Tc1 0.5000 0.5000 0.7760  2 Zr 2.61, 2 Li 2.71

The volume is 78.03 Å³ per cell. Its magnetic moment is 0.00 μB/f.u.



Need the numbers? Relative energies in meV per atom: *A* 149; *B* 0.